AcCeLu (PBE, relaxed); energy above the lowest structure with this stoichiometry = 15 meV/atom; E = -4.708 eV/atom; calculated formation energy = 147 meV/atom; space-group type = No. 156; volume = 103 Å³ per cell
1.0
3.6701 0.0000 0.0000
-1.8350 3.1784 0.0000
0.0000 0.0000 8.8523
Ac Ce Lu
1 1 1
Cartesian
0.0000 0.0000 0.0000 Ac
0.0000 2.1189 5.8183 Ce
1.8350 1.0595 3.0478 Lu

TbErTlHg (PBE, relaxed); energy above the lowest structure with this stoichiometry = 4 meV/atom; E = -3.369 eV/atom; calculated formation energy = -404 meV/atom; space-group type = No. 216; volume = 106 Å³ per cell
1.0
0.0000 3.7540 3.7540
3.7540 0.0000 3.7540
3.7540 3.7540 0.0000
Tb Er Tl Hg
1 1 1 1
Cartesian
0.0000 0.0000 0.0000 Tb
3.7540 3.7540 3.7540 Er
5.6310 5.6310 5.6310 Tl
1.8770 1.8770 1.8770 Hg

La6Pb2C (PBE, relaxed); energy above the lowest structure with this stoichiometry = 32 meV/atom; E = -5.506 eV/atom; calculated formation energy = -372 meV/atom; space-group type = No. 14; volume = 581 Å³ per cell
1.0
6.8550 0.0000 0.0000
0.0000 9.6068 0.0000
-5.0444 0.0000 8.8265
La Pb C
12 4 2
Cartesian
-1.4532 1.1570 4.1967 La
-3.9754 3.6464 8.6099 La
-2.5487 7.1519 8.3288 La
-0.0264 7.2583 3.9155 La
1.2545 0.4276 1.8691 La
-1.2677 4.3758 6.2824 La
3.0783 5.2310 2.5441 La
0.5561 9.1792 6.9573 La
1.8370 2.3485 4.9109 La
4.3592 2.4549 0.4977 La
5.7860 5.9604 0.2166 La
3.2638 8.4498 4.6298 La
-2.8746 0.8806 7.2306 Pb
-0.3524 3.9228 2.8174 Pb
2.1630 5.6840 6.0091 Pb
4.6852 8.7262 1.5959 Pb
0.9053 0.0000 4.4132 C
3.4275 4.8034 0.0000 C

BaReOs (PBE, relaxed); energy above the lowest structure with this stoichiometry = 1110 meV/atom; E = -6.888 eV/atom; calculated formation energy = 1646 meV/atom; space-group type = No. 216; volume = 70 Å³ per cell
1.0
0.0000 3.2761 3.2761
3.2761 0.0000 3.2761
3.2761 3.2761 0.0000
Ba Re Os
1 1 1
Cartesian
0.0000 0.0000 0.0000 Ba
1.6380 1.6380 1.6380 Re
3.2761 3.2761 3.2761 Os

Ca5AcS6 (PBE, relaxed); E = -5.336 eV/atom; raw formation energy = -2.096 eV/atom; space-group type = No. 12; volume = 291 Å³ per cell
1.0
3.5449 -6.1415 0.0000
3.5449 6.1415 0.0000
-2.3646 0.0000 6.6838
Ca Ac S
5 1 6
Cartesian
0.0000 0.0000 0.0000 Ca
2.3626 4.0918 3.3419 Ca
3.5449 2.0475 0.0000 Ca
3.5449 -2.0475 0.0000 Ca
2.3626 -4.0918 3.3419 Ca
2.3626 0.0000 3.3419 Ac
1.1495 2.1012 1.6392 S
-0.0627 0.0000 5.0513 S
1.1495 -2.1012 1.6392 S
3.5757 2.1012 5.0446 S
4.7879 0.0000 1.6325 S
3.5757 -2.1012 5.0446 S

BaTl2Te (PBE, relaxed); energy above the lowest structure with this stoichiometry = 40 meV/atom; E = -3.063 eV/atom; raw formation energy = -0.614 eV/atom; space-group type = No. 99; volume = 148 Å³ per cell
1.0
4.5068 0.0000 0.0000
0.0000 4.5068 0.0000
0.0000 0.0000 7.2654
Ba Tl Te
1 2 1
Cartesian
0.0000 0.0000 0.0000 Ba
0.0000 0.0000 3.5391 Tl
2.2534 2.2534 4.8930 Tl
2.2534 2.2534 1.4187 Te

Y2NpScAs4 (PBE, relaxed); E = -7.621 eV/atom; calculated formation energy = -1272 meV/atom; space-group type = No. 10; volume = 189 Å³ per cell
1.0
7.0187 0.0000 0.0000
0.0000 4.0581 0.0000
-2.3232 0.0000 6.6418
Y Np Sc As
2 1 1 4
Cartesian
0.0000 0.0000 0.0000 Y
3.5094 2.0290 0.0000 Y
-1.1616 2.0290 3.3209 Np
2.3478 0.0000 3.3209 Sc
0.0515 0.0000 4.9324 As
1.2029 2.0290 1.7413 As
3.4927 2.0290 4.9006 As
4.6441 0.0000 1.7094 As

Y8CoHg2 (PBE, relaxed); E = -5.611 eV/atom; calculated formation energy = -209 meV/atom; space-group type = No. 12; volume = 303 Å³ per cell
1.0
8.8123 -2.6336 0.0000
8.8123 2.6336 0.0000
-1.9981 0.0000 6.5180
Y Co Hg
8 1 2
Cartesian
-0.1629 0.0000 1.8675 Y
1.9405 0.0000 5.2417 Y
5.0833 0.0000 3.5301 Y
7.1196 0.0000 0.4860 Y
8.5070 0.0000 6.0320 Y
10.5432 0.0000 2.9879 Y
13.6861 0.0000 1.2763 Y
15.7895 0.0000 4.6505 Y
7.8133 0.0000 3.2590 Co
2.8401 0.0000 1.4710 Hg
12.7865 0.0000 5.0470 Hg